{
  "formula": "Co2Pd3",
  "functional": "PBE",
  "state": "optimized geometry",
  "lattice_angstrom": [[-4.078, 1.346, -1.600], [-1.466, -5.343, 1.667], [-0.050, 2.911, 4.999]],
  "species": ["Pd", "Pd", "Pd", "Pd", "Pd", "Pd", "Co", "Co", "Co", "Co"],
  "frac_coords": [[0.532, 0.245, 0.408], [0.468, 0.755, 0.592], [0.000, 0.000, 0.500], [0.968, 0.592, 0.755], [0.500, 0.500, 0.000], [0.032, 0.408, 0.245], [0.750, 0.179, 0.821], [0.250, 0.821, 0.179], [0.750, 0.930, 0.070], [0.250, 0.070, 0.930]],
  "formation_enthalpy_0k_ev_per_atom": 0.20,
  "magmom_total_mub_per_fu": 4.70,
  "de_polymorph_ev_per_atom": 0.1461
}